(1)
# ZnNi2W

An optimized crystal structure of ZnNi2W (PBE, Alexandria via LeMat-Bulk).

Cell lengths 4.4180, 4.4180, 4.7588 Å; angles 82.02, 82.02, 34.74 degrees
Last column: nearest neighbours and their distance in Å.
Positions (direct):
W (0.2500, 0.2500, 0.2500)  6 Ni 2.53-2.61, 2 W 2.64, 4 Zn 2.72
Zn (0.7500, 0.7500, 0.7500)  6 Ni 2.61-2.63, 2 Zn 2.64, 4 W 2.72
Ni (0.4987, 0.4987, 0.4887)  3 W 2.53-2.61, 3 Zn 2.61-2.63, 6 Ni 2.62-2.82
Ni (0.0013, 0.0013, 0.0113)  3 W 2.53-2.61, 3 Zn 2.61-2.63, 6 Ni 2.62-2.82

## Properties
For the final energy, the calculation gives -6.371 eV/atom. As for the space group: No. 12.

(2)
# ZnNi2W

An optimized crystal structure of ZnNi2W (PBE, Alexandria via LeMat-Bulk).

Cell lengths 2.6824, 2.6824, 7.1207 Å; angles 90.00, 90.00, 89.99 degrees
Last column: nearest neighbours and their distance in Å.
Positions (direct):
Zn (0.5000, 0.5000, 0.7500)  8 Ni 2.56, 4 Zn 2.68
W (0.5000, 0.5000, 0.2500)  8 Ni 2.65, 4 W 2.68
Ni (0.0000, 0.0000, 0.9909)  4 Zn 2.56, 4 W 2.65, 4 Ni 2.68
Ni (0.0000, 0.0000, 0.5091)  4 Zn 2.56, 4 W 2.65, 4 Ni 2.68

## Properties
For the final energy, the calculation gives -6.559 eV/atom. As for the space group: No. 123.

(3)
# Zn2NiW

An optimized crystal structure of Zn2NiW (PBE, Alexandria via LeMat-Bulk).

Cell lengths 9.0458, 9.0458, 9.0458 Å; angles 17.32, 17.32, 17.32 degrees
Last column: nearest neighbours and their distance in Å.
Positions (direct):
W (0.7558, 0.7558, 0.7558)  3 Ni 2.61, 6 W 2.72, 3 Zn 2.84
Zn (0.0005, 0.0005, 0.0005)  9 Zn 2.72-2.88, 3 W 2.84
Zn (0.2434, 0.2434, 0.2434)  3 Ni 2.58, 9 Zn 2.72-2.88
Ni (0.5003, 0.5003, 0.5003)  3 Zn 2.58, 3 W 2.61, 6 Ni 2.72

## Properties
For the final energy, the calculation gives -5.203 eV/atom. As for the space group: No. 160.

(4)
# Zn2Ni2W

An optimized crystal structure of Zn2Ni2W (PBE, Alexandria via LeMat-Bulk).

Cell lengths 6.9917, 6.9917, 2.6593 Å; angles 90.00, 90.00, 90.00 degrees
Last column: nearest neighbours and their distance in Å.
Positions (direct):
Ni (0.8712, 0.6288, 0.0000)  6 Zn 2.41-2.48, 3 Ni 2.55-2.66
Ni (0.6288, 0.1288, 0.0000)  6 Zn 2.41-2.48, 3 Ni 2.55-2.66
Zn (0.8317, 0.3317, 0.5000)  6 Ni 2.41-2.48, 2 Zn 2.66
W (0.0000, 0.0000, 0.0000)  2 W 2.66, 4 Ni 2.75, 8 Zn 2.92
Zn (0.1683, 0.6683, 0.5000)  6 Ni 2.41-2.48, 2 Zn 2.66
Ni (0.3713, 0.8712, 0.0000)  6 Zn 2.41-2.48, 3 Ni 2.55-2.66
Zn (0.6683, 0.8317, 0.5000)  6 Ni 2.41-2.48, 2 Zn 2.66
Zn (0.3317, 0.1683, 0.5000)  6 Ni 2.41-2.48, 2 Zn 2.66
Ni (0.1288, 0.3713, 0.0000)  6 Zn 2.41-2.48, 3 Ni 2.55-2.66
W (0.5000, 0.5000, 0.0000)  2 W 2.66, 4 Ni 2.75, 8 Zn 2.92

## Properties
For the final energy, the calculation gives -5.303 eV/atom. As for the space group: No. 127.

Repeat the fourth record exactly.
# Zn2Ni2W

An optimized crystal structure of Zn2Ni2W (PBE, Alexandria via LeMat-Bulk).

Cell lengths 6.9917, 6.9917, 2.6593 Å; angles 90.00, 90.00, 90.00 degrees
Last column: nearest neighbours and their distance in Å.
Positions (direct):
Ni (0.8712, 0.6288, 0.0000)  6 Zn 2.41-2.48, 3 Ni 2.55-2.66
Ni (0.6288, 0.1288, 0.0000)  6 Zn 2.41-2.48, 3 Ni 2.55-2.66
Zn (0.8317, 0.3317, 0.5000)  6 Ni 2.41-2.48, 2 Zn 2.66
W (0.0000, 0.0000, 0.0000)  2 W 2.66, 4 Ni 2.75, 8 Zn 2.92
Zn (0.1683, 0.6683, 0.5000)  6 Ni 2.41-2.48, 2 Zn 2.66
Ni (0.3713, 0.8712, 0.0000)  6 Zn 2.41-2.48, 3 Ni 2.55-2.66
Zn (0.6683, 0.8317, 0.5000)  6 Ni 2.41-2.48, 2 Zn 2.66
Zn (0.3317, 0.1683, 0.5000)  6 Ni 2.41-2.48, 2 Zn 2.66
Ni (0.1288, 0.3713, 0.0000)  6 Zn 2.41-2.48, 3 Ni 2.55-2.66
W (0.5000, 0.5000, 0.0000)  2 W 2.66, 4 Ni 2.75, 8 Zn 2.92

## Properties
For the final energy, the calculation gives -5.303 eV/atom. As for the space group: No. 127.